## LiZr3Au (PBE)

Data for a relaxed structure of LiZr3Au.

The structure in POSCAR format:
```
LiZr3Au
1.0
4.663 0.000 0.000
0.000 4.663 0.000
0.000 0.000 4.663
Au Zr Li
1 3 1
Cartesian
2.332 2.332 2.332
0.000 2.332 0.000
0.000 0.000 2.332
2.332 0.000 0.000
0.000 0.000 0.000
```

Output
Formation enthalpy at 0 K   0.5712 eV/atom
Density of states at the Fermi level   6.28 states/eV/f.u.
Relative energy among the computed polymorphs   0 meV per atom
Space-group type   Pm-3m, No. 221
Final energy   -27.979 eV for the cell shown